# PBE CdCu8, optimized geometry
data_CdCu8
_cell_length_a 4.391
_cell_length_b 4.391
_cell_length_c 26.605
_cell_angle_alpha 90.23
_cell_angle_beta 90.23
_cell_angle_gamma 47.22
_symmetry_space_group_name_H-M 'P 1'
_symmetry_Int_Tables_number 1
_symmetry_space_group_name_Hall 'P 1'
loop_
_atom_site_label
_atom_site_type_symbol
_atom_site_fract_x
_atom_site_fract_y
_atom_site_fract_z
Cd1 Cd 0.949 0.949 0.276
Cd2 Cd 0.051 0.051 0.724
Cu1 Cu 0.351 0.351 0.016
Cu2 Cu 0.050 0.050 0.046
Cu3 Cu 0.750 0.750 0.076
Cu4 Cu 0.450 0.450 0.108
Cu5 Cu 0.149 0.149 0.138
Cu6 Cu 0.849 0.849 0.169
Cu7 Cu 0.550 0.550 0.201
Cu8 Cu 0.248 0.248 0.230
Cu9 Cu 0.752 0.752 0.770
Cu10 Cu 0.450 0.450 0.799
Cu11 Cu 0.151 0.151 0.831
Cu12 Cu 0.851 0.851 0.862
Cu13 Cu 0.550 0.550 0.892
Cu14 Cu 0.250 0.250 0.924
Cu15 Cu 0.950 0.950 0.954
Cu16 Cu 0.649 0.649 0.984
# Theoretical density = 5.48 g cm⁻³
# Calculated total energy = -3.30 eV per atom
# ΔE_f = 0.1009 eV per atom

---

# PBE CdCu9, optimized geometry
data_CdCu9
_cell_length_a 2.617
_cell_length_b 3.425
_cell_length_c 33.410
_cell_angle_alpha 90.00
_cell_angle_beta 90.00
_cell_angle_gamma 90.00
_symmetry_space_group_name_H-M 'P 1'
_symmetry_Int_Tables_number 1
_symmetry_space_group_name_Hall 'P 1'
loop_
_atom_site_label
_atom_site_type_symbol
_atom_site_fract_x
_atom_site_fract_y
_atom_site_fract_z
Cd1 Cd 0.000 0.000 0.111
Cd2 Cd 0.500 0.500 0.889
Cu1 Cu 0.500 0.500 0.166
Cu2 Cu 0.000 0.000 0.206
Cu3 Cu 0.500 0.500 0.245
Cu4 Cu 0.000 0.000 0.284
Cu5 Cu 0.500 0.500 0.323
Cu6 Cu 0.000 0.000 0.362
Cu7 Cu 0.500 0.500 0.401
Cu8 Cu 0.000 0.000 0.441
Cu9 Cu 0.500 0.500 0.480
Cu10 Cu 0.000 0.000 0.520
Cu11 Cu 0.500 0.500 0.559
Cu12 Cu 0.000 0.000 0.599
Cu13 Cu 0.500 0.500 0.638
Cu14 Cu 0.000 0.000 0.677
Cu15 Cu 0.500 0.500 0.716
Cu16 Cu 0.000 0.000 0.755
Cu17 Cu 0.500 0.500 0.794
Cu18 Cu 0.000 0.000 0.834
# Theoretical density = 7.59 g cm⁻³
# Polymorph energy (0 for the lowest one) = 0 meV per atom
# Calculated total energy = -3.37 eV per atom
# ΔE_f = 0.0623 eV per atom

---

Q: Which of these has the highest ΔE_f?
A: CdCu8

---

Q: Which of these has the lowest calculated total energy?
A: CdCu9

---

Q: Among the records above, which one has the highest theoretical density?
A: CdCu9